# 1
# Ga2HgAs2 (PBE, optimized geometry)
# total DFT energy (no corrections) = -3.003 eV per atom
# formation energy = 128 meV/atom
# polymorph energy (0 for the lowest one) = 155 meV/atom
data_Ga2HgAs2
_chemical_formula_sum 'Ga4 Hg2 As4'
_space_group_name_H-M_alt 'P 4/m b m'
_space_group_IT_number 127
_space_group_name_Hall '-P 4 2ab'
_cell_length_a 8.1732
_cell_length_b 8.1732
_cell_length_c 3.1496
_cell_angle_alpha 90.00
_cell_angle_beta 90.00
_cell_angle_gamma 90.00
loop_
_atom_site_label
_atom_site_type_symbol
_atom_site_fract_x
_atom_site_fract_y
_atom_site_fract_z
_atom_site_occupancy
Ga1 Ga 0.1395 0.3605 0.0000 1
Hg1 Hg 0.0000 0.0000 0.5000 1
As1 As 0.1583 0.6583 0.5000 1

# 2
# GaHg2As (PBE, optimized geometry)
# total DFT energy (no corrections) = -1.879 eV per atom
# formation energy = 191 meV/atom
# polymorph energy (0 for the lowest one) = 0 meV/atom
data_GaHg2As
_chemical_formula_sum 'Ga4 Hg8 As4'
_space_group_name_H-M_alt 'I -4 2 d'
_space_group_IT_number 122
_space_group_name_Hall 'I -4 2bw'
_cell_length_a 8.0170
_cell_length_b 8.0170
_cell_length_c 5.7991
_cell_angle_alpha 90.00
_cell_angle_beta 90.00
_cell_angle_gamma 90.00
loop_
_atom_site_label
_atom_site_type_symbol
_atom_site_fract_x
_atom_site_fract_y
_atom_site_fract_z
_atom_site_occupancy
Ga1 Ga 0.0000 0.0000 0.0000 1
Hg1 Hg 0.2379 0.2500 0.6250 1
As1 As 0.0000 0.0000 0.5000 1

# 3
# GaHgAs (PBE, optimized geometry)
# total DFT energy (no corrections) = -2.682 eV per atom
# formation energy = -22 meV/atom
data_GaHgAs
_chemical_formula_sum 'Ga4 Hg4 As4'
_space_group_name_H-M_alt 'P 21 21 21'
_space_group_IT_number 19
_space_group_name_Hall 'P 2ac 2ab'
_cell_length_a 4.0523
_cell_length_b 7.1247
_cell_length_c 10.3918
_cell_angle_alpha 90.00
_cell_angle_beta 90.00
_cell_angle_gamma 90.00
loop_
_atom_site_label
_atom_site_type_symbol
_atom_site_fract_x
_atom_site_fract_y
_atom_site_fract_z
_atom_site_occupancy
Ga1 Ga 0.2498 0.0841 0.0007 1
Hg1 Hg 0.2488 0.7738 0.8610 1
As1 As 0.2498 0.3788 0.8516 1